# 1
This record from Alexandria via LeMat-Bulk describes an optimized crystal structure of CdB2Pt7Pb2. The functional is PBE.

The total energy is -5.552 eV per atom.

The structure belongs to space group C2/m (No. 12); the cell edges are 5.7088, 5.7050 and 12.9162 Å and the angles 90.00°, 93.42° and 90.00°. The asymmetric unit holds Cd at (0.0000, 0.0000, 0.0000), B at (0.0380, 0.5000, 0.2185), Pt at (0.0000, 0.5000, 0.0000), Pt at (0.2146, 0.2517, 0.8362), Pt at (0.2363, 0.5000, 0.3586) and Pb at (0.2458, 0.0000, 0.4090).


# 2
This record from Alexandria via LeMat-Bulk describes an optimized crystal structure of Rb2CdBPb. The functional is PBE.

The total energy is -2.128 eV per atom.

The structure belongs to space group P4/mmm (No. 123); the cell edges are 6.5423, 6.5423 and 4.7087 Å and the angles 90.00°, 90.00° and 90.00°. The asymmetric unit holds Rb at (0.0000, 0.5000, 0.0000), Cd at (0.0000, 0.0000, 0.5000), B at (0.5000, 0.5000, 0.0000) and Pb at (0.5000, 0.5000, 0.5000).


# 3
This record from Alexandria via LeMat-Bulk describes an optimized crystal structure of Cd2B2Rh5Pb. The functional is PBE.

The total energy is -5.807 eV per atom.

The structure belongs to space group P4/mbm (No. 127); the cell edges are 9.9271, 9.9271 and 2.9826 Å and the angles 90.00°, 90.00° and 90.00°. The asymmetric unit holds Cd at (0.1774, 0.3226, 0.0000), B at (0.1212, 0.6212, 0.0000), Rh at (0.0000, 0.5000, 0.5000), Rh at (0.0706, 0.7708, 0.5000) and Pb at (0.0000, 0.0000, 0.0000).


# 4
This record from Alexandria via LeMat-Bulk describes an optimized crystal structure of CdSiBPb2. The functional is PBE.

The total energy is -3.487 eV per atom.

The structure belongs to space group P4/mmm (No. 123); the cell edges are 5.8954, 5.8954 and 3.6417 Å and the angles 90.00°, 90.00° and 90.00°. The asymmetric unit holds Cd at (0.0000, 0.0000, 0.0000), Si at (0.5000, 0.5000, 0.5000), B at (0.5000, 0.5000, 0.0000) and Pb at (0.0000, 0.5000, 0.5000).


# 5
This record from Alexandria via LeMat-Bulk describes an optimized crystal structure of Sr2CdBPb. The functional is PBE.

The total energy is -2.893 eV per atom.

The structure belongs to space group P4/mmm (No. 123); the cell edges are 5.8167, 5.8167 and 4.3605 Å and the angles 90.00°, 90.00° and 90.00°. The asymmetric unit holds Sr at (0.0000, 0.5000, 0.0000), Cd at (0.0000, 0.0000, 0.5000), B at (0.0000, 0.0000, 0.0000) and Pb at (0.5000, 0.5000, 0.5000).


# 6
This record from Alexandria via LeMat-Bulk describes an optimized crystal structure of TaCdBPb2. The functional is PBE.

The total energy is -4.527 eV per atom.

The structure belongs to space group P4/mmm (No. 123); the cell edges are 5.1152, 5.1152 and 4.6655 Å and the angles 90.00°, 90.00° and 90.00°. The asymmetric unit holds Ta at (0.0000, 0.0000, 0.0000), Cd at (0.5000, 0.5000, 0.0000), B at (0.0000, 0.0000, 0.5000) and Pb at (0.0000, 0.5000, 0.5000).


# 7
This record from Alexandria via LeMat-Bulk describes an optimized crystal structure of TiCd2BPb. The functional is PBE.

The total energy is -3.158 eV per atom.

The structure belongs to space group P4/mmm (No. 123); the cell edges are 5.4512, 5.4512 and 4.1622 Å and the angles 90.00°, 90.00° and 90.00°. The asymmetric unit holds Ti at (0.0000, 0.0000, 0.0000), Cd at (0.0000, 0.5000, 0.0000), B at (0.0000, 0.0000, 0.5000) and Pb at (0.5000, 0.5000, 0.5000).


# 8
This record from Alexandria via LeMat-Bulk describes an optimized crystal structure of CdBPd6. The functional is PBE.

The total energy is -4.896 eV per atom.

The structure belongs to space group R-3m (No. 166, hexagonal axes); the cell edges are 5.5455, 5.5455 and 15.1809 Å and the angles 90.00°, 90.00° and 120.00°. The asymmetric unit holds Cd at (0.0000, 0.0000, 0.0000), B at (0.0000, 0.0000, 0.5000) and Pd at (0.0110, 0.5055, 0.9132).


# 9
This record from Alexandria via LeMat-Bulk describes an optimized crystal structure of CdBPd3. The functional is PBE.

The offset from the most stable computed form is 0 meV per atom. The total energy is -4.948 eV per atom.

The structure belongs to space group C2/c (No. 15); the cell edges are 10.1369, 5.7442 and 10.5371 Å and the angles 90.00°, 104.64° and 90.00°. The asymmetric unit holds Cd at (0.1047, 0.1769, 0.1274), B at (0.0000, 0.2552, 0.7500), B at (0.2500, 0.2500, 0.5000), Pd at (0.0900, 0.3162, 0.5931), Pd at (0.1415, 0.4595, 0.3459) and Pd at (0.1579, 0.0512, 0.8773).


# 10
This record from Alexandria via LeMat-Bulk describes an optimized crystal structure of CdB2Pd7. The functional is PBE.

The total energy is -5.163 eV per atom.

The structure belongs to space group Cmmm (No. 65); the cell edges are 7.1303, 10.8118 and 4.0685 Å and the angles 90.00°, 90.00° and 90.00°. The asymmetric unit holds Cd at (0.0000, 0.0000, 0.0000), B at (0.0000, 0.2859, 0.5000), Pd at (0.0000, 0.3248, 0.0000), Pd at (0.0000, 0.5000, 0.5000) and Pd at (0.1899, 0.1341, 0.5000).


# 11
This record from Alexandria via LeMat-Bulk describes an optimized crystal structure of CdB3Pd. The functional is PBE.

The offset from the most stable computed form is 958 meV per atom. The total energy is -2.891 eV per atom.

The structure belongs to space group Pm-3m (No. 221); the cell edges are 4.2904, 4.2904 and 4.2904 Å and the angles 90.00°, 90.00° and 90.00°. The asymmetric unit holds Cd at (0.0000, 0.0000, 0.0000), B at (0.0000, 0.0000, 0.5000) and Pd at (0.5000, 0.5000, 0.5000).


# 12
This record from Alexandria via LeMat-Bulk describes an optimized crystal structure of CdBPd3. The functional is PBE.

The offset from the most stable computed form is 19 meV per atom. The total energy is -4.929 eV per atom.

The structure belongs to space group P6_3/mmc (No. 194); the cell edges are 5.8869, 5.8869 and 4.9475 Å and the angles 90.00°, 90.00° and 120.00°. The asymmetric unit holds Cd at (0.3333, 0.6667, 0.2500), B at (0.0000, 0.0000, 0.0000) and Pd at (0.1697, 0.3394, 0.7500).


Magnetic moment list, top to bottom, in μB per atom: 0.00; 0.00; 0.00; 0.00; 0.00; 0.00; 0.05; 0.00; 0.00; 0.00; 0.00; 0.00